Ac2Zn15Pd2: relaxed, PBE.

It has space group R-3m (No. 166, hexagonal axes), with a = 9.2118 Å, b = 9.2118 Å, c = 13.4967 Å, α = 90.00°, β = 90.00° and γ = 120.00°. The asymmetric unit holds Ac at (0.0000, 0.0000, 0.1597), Zn at (0.0000, 0.2787, 0.5000), Zn at (0.0000, 0.5000, 0.0000), Zn at (0.0006, 0.5003, 0.3442) and Pd at (0.0000, 0.0000, 0.3910).

As for the magnetic moment: 0.00 Bohr magnetons per cell. As for the energy of formation from the pure elements: -31.60 kJ per mole of atoms. The density comes out at 8277 kg/m3.

***

DyYHg: relaxed, PBE.

It has space group F-43m (No. 216), with a = 7.2049 Å, b = 7.2049 Å, c = 7.2049 Å, α = 90.00°, β = 90.00° and γ = 90.00°. The asymmetric unit holds Dy at (0.0000, 0.0000, 0.0000), Y at (0.0000, 0.0000, 0.5000) and Hg at (0.2500, 0.2500, 0.2500).

As for the magnetic moment: 0.02 Bohr magnetons per cell. As for the energy of formation from the pure elements: -12.39 kJ per mole of atoms. The density comes out at 8027 kg/m3.